[1]
! CaCu12Ge4 | Alexandria | PBE | relaxed; values from VASP
&SYSTEM
  ibrav = 0, nat = 17, ntyp = 3
/
ATOMIC_SPECIES
Ca 40.08 Ca.upf
Cu 63.55 Cu.upf
Ge 72.64 Ge.upf
CELL_PARAMETERS angstrom
-4.146 4.146 4.146
4.146 -4.146 4.146
4.146 4.146 -4.146
ATOMIC_POSITIONS crystal
Ca 0.000 0.000 0.000
Cu 0.150 0.356 0.506
Cu 0.150 0.644 0.794
Cu 0.206 0.850 0.356
Cu 0.356 0.206 0.850
Cu 0.356 0.506 0.150
Cu 0.494 0.850 0.644
Cu 0.506 0.150 0.356
Cu 0.644 0.494 0.850
Cu 0.644 0.794 0.150
Cu 0.794 0.150 0.644
Cu 0.850 0.356 0.206
Cu 0.850 0.644 0.494
Ge 0.000 0.000 0.500
Ge 0.000 0.500 0.000
Ge 0.500 0.000 0.000
Ge 0.500 0.500 0.500
! * calculated volume: 16.77 Å³ per atom
! * ΔE_f: 5.45 eV/f.u.
! * VASP energy: -3.775 eV per atom
! * magnetic moment: 0.00 μB per formula unit
! * symmetry: Im-3, No. 204

---

[2]
! CaCu2Ge2 | Alexandria | PBE | relaxed; values from VASP
&SYSTEM
  ibrav = 0, nat = 5, ntyp = 3
/
ATOMIC_SPECIES
Ca 40.08 Ca.upf
Cu 63.55 Cu.upf
Ge 72.64 Ge.upf
CELL_PARAMETERS angstrom
2.935 -2.941 0.000
2.935 2.941 0.000
-2.875 0.000 5.146
ATOMIC_POSITIONS crystal
Ca 0.000 0.000 0.000
Cu 0.248 0.752 0.500
Cu 0.752 0.248 0.500
Ge 0.378 0.378 0.757
Ge 0.622 0.622 0.243
! * calculated volume: 17.77 Å³ per atom
! * ΔE_f: -1.89 eV/f.u.
! * VASP energy: -4.264 eV per atom
! * magnetic moment: 0.00 μB per formula unit
! * symmetry: C2/m, No. 12

---

[3]
! CaCuGe2 | Alexandria | PBE | relaxed; values from VASP
&SYSTEM
  ibrav = 0, nat = 8, ntyp = 3
/
ATOMIC_SPECIES
Ca 40.08 Ca.upf
Cu 63.55 Cu.upf
Ge 72.64 Ge.upf
CELL_PARAMETERS angstrom
-2.327 2.327 8.371
2.327 -2.327 8.371
2.327 2.327 -8.371
ATOMIC_POSITIONS crystal
Ca 0.000 0.000 0.000
Ca 0.750 0.250 0.500
Cu 0.250 0.750 0.500
Cu 0.500 0.500 0.000
Ge 0.248 0.625 0.123
Ge 0.375 0.498 0.623
Ge 0.502 0.125 0.877
Ge 0.875 0.752 0.377
! * calculated volume: 22.67 Å³ per atom
! * ΔE_f: -0.49 eV/f.u.
! * VASP energy: -3.955 eV per atom
! * magnetic moment: 0.00 μB per formula unit
! * symmetry: I-42d, No. 122

---

[4]
! CaCuGe | Alexandria | PBE | relaxed; values from VASP
&SYSTEM
  ibrav = 0, nat = 36, ntyp = 3
/
ATOMIC_SPECIES
Ca 40.08 Ca.upf
Cu 63.55 Cu.upf
Ge 72.64 Ge.upf
CELL_PARAMETERS angstrom
21.391 0.000 0.000
0.000 4.378 0.000
0.000 0.000 7.481
ATOMIC_POSITIONS crystal
Ca 0.002 0.250 0.213
Ca 0.166 0.250 0.294
Ca 0.167 0.750 0.704
Ca 0.333 0.250 0.204
Ca 0.334 0.750 0.794
Ca 0.498 0.750 0.713
Ca 0.502 0.250 0.287
Ca 0.666 0.250 0.206
Ca 0.667 0.750 0.796
Ca 0.833 0.250 0.296
Ca 0.834 0.750 0.706
Ca 0.998 0.750 0.787
Cu 0.063 0.750 0.419
Cu 0.098 0.250 0.915
Cu 0.235 0.250 0.912
Cu 0.265 0.750 0.412
Cu 0.402 0.750 0.415
Cu 0.437 0.250 0.919
Cu 0.563 0.750 0.081
Cu 0.598 0.250 0.585
Cu 0.735 0.250 0.588
Cu 0.765 0.750 0.088
Cu 0.902 0.750 0.085
Cu 0.937 0.250 0.581
Ge 0.068 0.250 0.592
Ge 0.102 0.750 0.086
Ge 0.230 0.750 0.081
Ge 0.270 0.250 0.581
Ge 0.398 0.250 0.586
Ge 0.432 0.750 0.092
Ge 0.568 0.250 0.908
Ge 0.602 0.750 0.414
Ge 0.730 0.750 0.419
Ge 0.770 0.250 0.919
Ge 0.898 0.250 0.914
Ge 0.932 0.750 0.408
! * calculated volume: 19.46 Å³ per atom
! * ΔE_f: -1.42 eV/f.u.
! * VASP energy: -4.046 eV per atom
! * magnetic moment: 0.00 μB per formula unit
! * symmetry: Pnma, No. 62

---

Q: Which value of ΔE_f does entry 2 give?
A: -1.89 eV/f.u.

---

Q: What is the VASP energy in the fourth record?
A: -4.046 eV per atom

---

Q: Look up the ΔE_f of the first one.
A: 5.45 eV/f.u.